#w
Density functional theory data (PBE) for a relaxed structure of LiGaF4.

The crystal system is orthorhombic. As for the density of states at the Fermi level: 0.000 states/eV per atom. The magnetic moment comes out at 0.02 μB per cell.

The space group is Cmcm (No. 63) and the conventional cell measures 6.804, 7.492 and 6.292 Å, with angles of 90.00, 90.00 and 90.00 degrees. Symmetry generates all atoms from Li at (0.000, 0.071, 0.250), Ga at (0.000, 0.340, 0.750), F at (0.000, 0.193, 0.524) and F at (0.213, 0.481, 0.750).


#x
Density functional theory data (PBE) for a relaxed structure of LiGaF4.

The crystal system is tetragonal. As for the density of states at the Fermi level: 0.000 states/eV per atom. The magnetic moment comes out at 0.00 μB per cell.

The space group is I4/mcm (No. 140) and the conventional cell measures 4.853, 4.853 and 10.097 Å, with angles of 90.00, 90.00 and 90.00 degrees. Symmetry generates all atoms from Li at (0.000, 0.500, 0.000), Ga at (0.000, 0.000, 0.250) and F at (0.200, 0.300, 0.138).


Most stable to least stable, the ends of the list are #w and #x.


#w
Density functional theory data (PBE) for a relaxed structure of LiGaN2F.

The crystal system is tetragonal. As for the density of states at the Fermi level: 0.393 states/eV per atom. The magnetic moment comes out at 3.31 μB per cell.

The space group is P4/mmm (No. 123) and the conventional cell measures 4.011, 4.011 and 3.373 Å, with angles of 90.00, 90.00 and 90.00 degrees. Symmetry generates all atoms from Li at (0.000, 0.000, 0.000), Ga at (0.500, 0.500, 0.500), N at (0.000, 0.500, 0.000) and F at (0.000, 0.000, 0.500).


#x
Density functional theory data (PBE) for a relaxed structure of LiGaN2F.

The crystal system is tetragonal. As for the density of states at the Fermi level: 0.332 states/eV per atom. The magnetic moment comes out at 2.46 μB per cell.

The space group is P4/mmm (No. 123) and the conventional cell measures 3.879, 3.879 and 4.190 Å, with angles of 90.00, 90.00 and 90.00 degrees. Symmetry generates all atoms from Li at (0.000, 0.000, 0.000), Ga at (0.500, 0.500, 0.500), N at (0.000, 0.500, 0.500) and F at (0.500, 0.500, 0.000).


Most stable to least stable, the ends of the list are #x and #w.


#w
Density functional theory data (PBE) for a relaxed structure of Na2LiGaF6.

The crystal system is monoclinic. As for the density of states at the Fermi level: 0.000 states/eV per atom. The magnetic moment comes out at 0.00 μB per cell.

The space group is P2_1/c (No. 14) and the conventional cell measures 5.399, 5.553 and 9.365 Å, with angles of 90.00, 124.79 and 90.00 degrees. Symmetry generates all atoms from Na at (0.235, 0.052, 0.249), Li at (0.000, 0.000, 0.500), Ga at (0.500, 0.000, 0.000), F at (0.167, 0.195, 0.955), F at (0.259, 0.715, 0.950) and F at (0.351, 0.029, 0.759).


#x
Density functional theory data (PBE) for a relaxed structure of Na2LiGaF6.

The crystal system is cubic. As for the density of states at the Fermi level: 0.000 states/eV per atom. The magnetic moment comes out at 0.00 μB per cell.

The space group is Fm-3m (No. 225) and the conventional cell measures 7.805, 7.805 and 7.805 Å, with angles of 90.00, 90.00 and 90.00 degrees. Symmetry generates all atoms from Na at (0.250, 0.250, 0.250), Li at (0.000, 0.000, 0.000), Ga at (0.000, 0.000, 0.500) and F at (0.000, 0.000, 0.256).


Most stable to least stable, the ends of the list are #w and #x.